Entry i
CaTl12In6: relaxed, PBE-GGA.

abc: 8.840 8.840 8.840
angles: 106.60 106.60 106.60
Positions (direct):
1 Ca 0.000 0.000 0.000
2 Tl 0.040 0.149 0.694
3 Tl 0.149 0.694 0.040
4 Tl 0.193 0.656 0.444
5 Tl 0.306 0.960 0.851
6 Tl 0.344 0.556 0.807
7 Tl 0.444 0.193 0.656
8 Tl 0.556 0.807 0.344
9 Tl 0.656 0.444 0.193
10 Tl 0.694 0.040 0.149
11 Tl 0.807 0.344 0.556
12 Tl 0.851 0.306 0.960
13 Tl 0.960 0.851 0.306
14 In 0.128 0.274 0.403
15 In 0.274 0.403 0.128
16 In 0.403 0.128 0.274
17 In 0.597 0.872 0.726
18 In 0.726 0.597 0.872
19 In 0.872 0.726 0.597

- Crystal system: trigonal

***

Entry ii
CaTl12In6: relaxed, PBE-GGA.

abc: 8.301 8.301 8.301
angles: 89.89 89.89 89.89
Positions (direct):
1 Ca 0.000 0.000 0.000
2 Tl 0.047 0.149 0.377
3 Tl 0.149 0.377 0.047
4 Tl 0.196 0.481 0.562
5 Tl 0.377 0.047 0.149
6 Tl 0.438 0.804 0.519
7 Tl 0.481 0.562 0.196
8 Tl 0.519 0.438 0.804
9 Tl 0.562 0.196 0.481
10 Tl 0.623 0.953 0.851
11 Tl 0.804 0.519 0.438
12 Tl 0.851 0.623 0.953
13 Tl 0.953 0.851 0.623
14 In 0.117 0.729 0.265
15 In 0.265 0.117 0.729
16 In 0.271 0.735 0.883
17 In 0.729 0.265 0.117
18 In 0.735 0.883 0.271
19 In 0.883 0.271 0.735

- Crystal system: trigonal

***

Most stable structure among those shown: entry ii.